(1)
The following is a meta-GGA SCAN calculation of a PBEsol-optimized structure of Li2PtW, from Alexandria.

```
data_Li2PtW
_space_group_name_H-M_alt 'C 1 2/m 1'
_space_group_IT_number 12
_space_group_name_Hall '-C 2y'
_cell_length_a 5.2813
_cell_length_b 9.4302
_cell_length_c 2.6511
_cell_angle_alpha 90.00
_cell_angle_beta 117.85
_cell_angle_gamma 90.00
loop_
_atom_site_label
_atom_site_type_symbol
_atom_site_fract_x
_atom_site_fract_y
_atom_site_fract_z
Li1 Li 0.2500 0.2500 0.0000
Pt1 Pt 0.0000 0.0000 0.5000
W1 W 0.0000 0.5000 0.5000
```

Output
**Final energy**: -289.85 eV for the cell shown
**Total magnetic moment**: 0.0000 μB/atom

=====

(2)
The following is a meta-GGA SCAN calculation of a PBEsol-optimized structure of AlPtW4, from Alexandria.

```
data_AlPtW4
_space_group_name_H-M_alt 'F -4 3 m'
_space_group_IT_number 216
_space_group_name_Hall 'F -4 2 3'
_cell_length_a 7.3482
_cell_length_b 7.3482
_cell_length_c 7.3482
_cell_angle_alpha 90.00
_cell_angle_beta 90.00
_cell_angle_gamma 90.00
loop_
_atom_site_label
_atom_site_type_symbol
_atom_site_fract_x
_atom_site_fract_y
_atom_site_fract_z
Al1 Al 0.0000 0.0000 0.0000
Pt1 Pt 0.2500 0.2500 0.2500
W1 W 0.1260 0.1260 0.6260
```

Output
**Final energy**: -1416.16 eV for the cell shown
**Total magnetic moment**: 0.0000 μB/atom

=====

(3)
The following is a meta-GGA SCAN calculation of a PBEsol-optimized structure of AgP2Cl, from Alexandria.

```
data_AgP2Cl
_space_group_name_H-M_alt 'I 4/m m m'
_space_group_IT_number 139
_space_group_name_Hall '-I 4 2'
_cell_length_a 3.4213
_cell_length_b 3.4213
_cell_length_c 13.8031
_cell_angle_alpha 90.00
_cell_angle_beta 90.00
_cell_angle_gamma 90.00
loop_
_atom_site_label
_atom_site_type_symbol
_atom_site_fract_x
_atom_site_fract_y
_atom_site_fract_z
Ag1 Ag 0.0000 0.0000 0.0000
P1 P 0.0000 0.5000 0.2500
Cl1 Cl 0.0000 0.0000 0.5000
```

Output
**Final energy**: -118.20 eV for the cell shown
**Raw formation energy**: 0.261 eV/atom
**Total magnetic moment**: 0.0000 μB/atom

=====

(4)
The following is a meta-GGA SCAN calculation of a PBEsol-optimized structure of In2FeP, from Alexandria.

```
data_In2FeP
_space_group_name_H-M_alt 'P m m m'
_space_group_IT_number 47
_space_group_name_Hall '-P 2 2'
_cell_length_a 3.4954
_cell_length_b 4.4492
_cell_length_c 4.5233
_cell_angle_alpha 90.00
_cell_angle_beta 90.00
_cell_angle_gamma 90.00
loop_
_atom_site_label
_atom_site_type_symbol
_atom_site_fract_x
_atom_site_fract_y
_atom_site_fract_z
In1 In 0.0000 0.0000 0.0000
In2 In 0.0000 0.5000 0.5000
Fe1 Fe 0.5000 0.0000 0.5000
P1 P 0.5000 0.5000 0.0000
```

Output
**Final energy**: -93.49 eV for the cell shown
**Total magnetic moment**: 0.6593 μB/atom

=====

(5)
The following is a meta-GGA SCAN calculation of a PBEsol-optimized structure of Mn3Al9Si, from Alexandria.

```
data_Mn3Al9Si
_space_group_name_H-M_alt 'P 63/m m c'
_space_group_IT_number 194
_space_group_name_Hall '-P 6c 2c'
_cell_length_a 7.4202
_cell_length_b 7.4202
_cell_length_c 7.5843
_cell_angle_alpha 90.00
_cell_angle_beta 90.00
_cell_angle_gamma 120.00
loop_
_atom_site_label
_atom_site_type_symbol
_atom_site_fract_x
_atom_site_fract_y
_atom_site_fract_z
Mn1 Mn 0.1205 0.2410 0.2500
Al1 Al 0.0847 0.5423 0.2500
Al2 Al 0.1982 0.3964 0.5642
Si1 Si 0.0000 0.0000 0.0000
```

Output
**Final energy**: -275.86 eV for the cell shown
**Raw formation energy**: -0.260 eV/atom
**Total magnetic moment**: 0.0004 μB/atom

=====

(6)
The following is a meta-GGA SCAN calculation of a PBEsol-optimized structure of GaAu2SeBr, from Alexandria.

```
data_GaAu2SeBr
_space_group_name_H-M_alt 'P 4/m m m'
_space_group_IT_number 123
_space_group_name_Hall '-P 4 2'
_cell_length_a 4.9426
_cell_length_b 4.9426
_cell_length_c 4.7943
_cell_angle_alpha 90.00
_cell_angle_beta 90.00
_cell_angle_gamma 90.00
loop_
_atom_site_label
_atom_site_type_symbol
_atom_site_fract_x
_atom_site_fract_y
_atom_site_fract_z
Ga1 Ga 0.0000 0.0000 0.0000
Au1 Au 0.0000 0.5000 0.0000
Se1 Se 0.0000 0.0000 0.5000
Br1 Br 0.5000 0.5000 0.5000
```

Output
**Final energy**: -191.78 eV for the cell shown
**Raw formation energy**: 0.483 eV/atom
**Total magnetic moment**: 0.0003 μB/atom

=====

(7)
The following is a meta-GGA SCAN calculation of a PBEsol-optimized structure of Cu2PHO5, from Alexandria.

```
data_Cu2PHO5
_space_group_name_H-M_alt 'P n n m'
_space_group_IT_number 58
_space_group_name_Hall '-P 2 2n'
_cell_length_a 7.9925
_cell_length_b 8.3249
_cell_length_c 5.9012
_cell_angle_alpha 90.00
_cell_angle_beta 90.00
_cell_angle_gamma 90.00
loop_
_atom_site_label
_atom_site_type_symbol
_atom_site_fract_x
_atom_site_fract_y
_atom_site_fract_z
Cu1 Cu 0.0000 0.0000 0.2491
Cu2 Cu 0.1380 0.3685 0.0000
P1 P 0.2361 0.7544 0.0000
H1 H 0.0709 0.7893 0.5000
O1 O 0.1033 0.6176 0.0000
O2 O 0.1251 0.8966 0.5000
O3 O 0.1405 0.9187 0.0000
O4 O 0.1512 0.2413 0.2888
```

Output
**Final energy**: -356.85 eV for the cell shown
**Total magnetic moment**: 0.0039 μB/atom

=====

(8)
The following is a meta-GGA SCAN calculation of a PBEsol-optimized structure of Li2AgOs, from Alexandria.

```
data_Li2AgOs
_space_group_name_H-M_alt 'P m m 2'
_space_group_IT_number 25
_space_group_name_Hall 'P 2 -2'
_cell_length_a 2.5703
_cell_length_b 4.7234
_cell_length_c 4.7286
_cell_angle_alpha 90.00
_cell_angle_beta 90.00
_cell_angle_gamma 90.00
loop_
_atom_site_label
_atom_site_type_symbol
_atom_site_fract_x
_atom_site_fract_y
_atom_site_fract_z
Li1 Li 0.0000 0.0000 0.0000
Li2 Li 0.5000 0.5000 0.1501
Ag1 Ag 0.0000 0.5000 0.6330
Os1 Os 0.5000 0.0000 0.5035
```

Output
**Final energy**: -107.17 eV for the cell shown
**Total magnetic moment**: 0.0000 μB/atom